Compound: Sm2Cu3As3
Source: the Open Quantum Materials Database
Functional: PBE
Structure: optimized geometry

Cell lengths 13.5302, 4.0381, 11.1335 Å; angles 90.00, 90.00, 90.00 degrees
Sites, in units of the cell vectors:
1 As 0.8683 0.2500 0.4447
2 As 0.1441 0.2500 0.2586
3 As 0.9007 0.7500 0.1031
4 As 0.8559 0.7500 0.7414
5 As 0.6441 0.2500 0.2414
6 As 0.0993 0.2500 0.8969
7 As 0.3559 0.7500 0.7586
8 As 0.6317 0.7500 0.9447
9 As 0.4007 0.7500 0.3969
10 As 0.1317 0.7500 0.5553
11 As 0.3683 0.2500 0.0553
12 As 0.5993 0.2500 0.6031
13 Cu 0.2782 0.2500 0.8557
14 Cu 0.5120 0.2500 0.4017
15 Cu 0.8317 0.2500 0.2271
16 Cu 0.6683 0.7500 0.7271
17 Cu 0.4880 0.7500 0.5983
18 Cu 0.0120 0.2500 0.0983
19 Cu 0.2218 0.7500 0.3557
20 Cu 0.7782 0.2500 0.6443
21 Cu 0.1683 0.7500 0.7729
22 Cu 0.9880 0.7500 0.9017
23 Cu 0.3317 0.2500 0.2729
24 Cu 0.7218 0.7500 0.1443
25 Sm 0.2943 0.2500 0.5667
26 Sm 0.2057 0.7500 0.0667
27 Sm 0.0034 0.2500 0.6595
28 Sm 0.4966 0.7500 0.1595
29 Sm 0.7057 0.7500 0.4333
30 Sm 0.5034 0.2500 0.8405
31 Sm 0.9966 0.7500 0.3405
32 Sm 0.7943 0.2500 0.9333

Summary:
Its calculated volume is 608 Å³/cell. The calculation puts the total energy at -163.28 eV/cell.